An optimized crystal structure of BaSrLaBiO6, computed with PBE.

The value obtained for the density of states at the Fermi level is 0.0 states/eV/cell. As for the raw formation energy: -2.37 eV/atom. The calculation puts the polymorph energy (0 for the lowest one) at 0.0 meV/atom. The value obtained for the total magnetic moment is 0.00 μB/atom. The volume is 17.0 A^3/atom.

CIF file:
```
data_BaSrLaBiO6
_chemical_formula_sum 'Ba2 Sr2 La2 Bi2 O12'
_cell_length_a 6.169
_cell_length_b 6.272
_cell_length_c 8.797
_cell_angle_alpha 89.84
_cell_angle_beta 89.57
_cell_angle_gamma 89.91
_symmetry_space_group_name_H-M 'P -1'
_symmetry_Int_Tables_number 2
loop_
_symmetry_equiv_pos_as_xyz
'x,y,z'
'-x,-y,-z'
loop_
_atom_site_label
_atom_site_type_symbol
_atom_site_fract_x
_atom_site_fract_y
_atom_site_fract_z
_atom_site_occupancy
Ba1 Ba 0.009 0.036 0.250 1
Sr1 Sr 0.488 0.540 0.250 1
La1 La 0.000 0.500 0.000 1
La2 La 0.500 0.000 0.500 1
Bi1 Bi 0.000 0.500 0.500 1
Bi2 Bi 0.500 0.000 0.000 1
O1 O 0.101 0.516 0.735 1
O2 O 0.200 0.773 0.454 1
O3 O 0.222 0.801 0.036 1
O4 O 0.277 0.302 0.446 1
O5 O 0.311 0.282 0.055 1
O6 O 0.424 0.049 0.764 1
```

---

An optimized crystal structure of AgP2F, computed with PBE.

The value obtained for the density of states at the Fermi level is 2.3 states/eV/cell. As for the raw formation energy: 0.13 eV/atom. The calculation puts the polymorph energy (0 for the lowest one) at 380.1 meV/atom. The value obtained for the total magnetic moment is 0.00 μB/atom. The volume is 14.3 A^3/atom.

CIF file:
```
data_AgP2F
_chemical_formula_sum 'Ag4 P8 F4'
_cell_length_a 6.121
_cell_length_b 6.121
_cell_length_c 6.121
_cell_angle_alpha 90.00
_cell_angle_beta 90.00
_cell_angle_gamma 90.00
_symmetry_space_group_name_H-M 'F m -3 m'
_symmetry_Int_Tables_number 225
_symmetry_space_group_name_Hall '-F 4 2 3'
loop_
_atom_site_label
_atom_site_type_symbol
_atom_site_fract_x
_atom_site_fract_y
_atom_site_fract_z
_atom_site_occupancy
Ag1 Ag 0.000 0.000 0.000 1
P1 P 0.250 0.250 0.250 1
F1 F 0.000 0.000 0.500 1
```

---

An optimized crystal structure of CeNdTmTh, computed with PBE.

The calculation puts the calculated formation energy at 0.9 eV/f.u. The value obtained for the density of states at the Fermi level is 54.0 states/eV/cell. The calculation puts the polymorph energy (0 for the lowest one) at 176.6 meV/atom. The value obtained for the total magnetic moment is 0.39 μB/atom. The volume is 32.1 A^3/atom.

CIF file:
```
data_CeNdTmTh
_chemical_formula_sum 'Ce4 Nd4 Tm4 Th4'
_cell_length_a 8.005
_cell_length_b 8.005
_cell_length_c 8.005
_cell_angle_alpha 90.00
_cell_angle_beta 90.00
_cell_angle_gamma 90.00
_symmetry_space_group_name_H-M 'F -4 3 m'
_symmetry_Int_Tables_number 216
_symmetry_space_group_name_Hall 'F -4 2 3'
loop_
_atom_site_label
_atom_site_type_symbol
_atom_site_fract_x
_atom_site_fract_y
_atom_site_fract_z
_atom_site_occupancy
Ce1 Ce 0.000 0.000 0.000 1
Nd1 Nd 0.250 0.250 0.750 1
Tm1 Tm 0.000 0.000 0.500 1
Th1 Th 0.250 0.250 0.250 1
```

---

An optimized crystal structure of Cu4Pd4Pt, computed with PBE.

The calculation puts the calculated formation energy at -0.8 eV/f.u. The value obtained for the density of states at the Fermi level is 16.8 states/eV/cell. The calculation puts the polymorph energy (0 for the lowest one) at 0.0 meV/atom. The value obtained for the total magnetic moment is 0.00 μB/atom. The volume is 14.1 A^3/atom.

CIF file:
```
data_Cu4Pd4Pt
_chemical_formula_sum 'Cu8 Pd8 Pt2'
_cell_length_a 8.181
_cell_length_b 8.181
_cell_length_c 3.783
_cell_angle_alpha 90.00
_cell_angle_beta 90.00
_cell_angle_gamma 90.00
_symmetry_space_group_name_H-M 'I 4/m m m'
_symmetry_Int_Tables_number 139
_symmetry_space_group_name_Hall '-I 4 2'
loop_
_atom_site_label
_atom_site_type_symbol
_atom_site_fract_x
_atom_site_fract_y
_atom_site_fract_z
_atom_site_occupancy
Cu1 Cu 0.167 0.167 0.000 1
Pd1 Pd 0.000 0.328 0.500 1
Pt1 Pt 0.000 0.000 0.500 1
```

---

An optimized crystal structure of Zr2TiTe6, computed with PBE.

The value obtained for the density of states at the Fermi level is 6.9 states/eV/cell. As for the raw formation energy: -0.69 eV/atom. The calculation puts the polymorph energy (0 for the lowest one) at 121.4 meV/atom. The value obtained for the total magnetic moment is 0.01 μB/atom. The volume is 27.3 A^3/atom.

CIF file:
```
data_Zr2TiTe6
_chemical_formula_sum 'Zr4 Ti2 Te12'
_cell_length_a 6.925
_cell_length_b 7.458
_cell_length_c 11.547
_cell_angle_alpha 90.00
_cell_angle_beta 124.59
_cell_angle_gamma 90.00
_symmetry_space_group_name_H-M 'P 1 21/c 1'
_symmetry_Int_Tables_number 14
loop_
_symmetry_equiv_pos_as_xyz
'x,y,z'
'-x,-y,-z'
'-x,y+1/2,-z+1/2'
'x,-y+1/2,z+1/2'
loop_
_atom_site_label
_atom_site_type_symbol
_atom_site_fract_x
_atom_site_fract_y
_atom_site_fract_z
_atom_site_occupancy
Zr1 Zr 0.217 0.144 0.253 1
Ti1 Ti 0.000 0.000 0.500 1
Te1 Te 0.081 0.167 0.929 1
Te2 Te 0.273 0.675 0.927 1
Te3 Te 0.416 0.018 0.762 1
```

---

Which of these has the highest total magnetic moment? CeNdTmTh

---

What is the polymorph energy (0 for the lowest one) in the third record? 176.6 meV/atom

---

Look up the density of states at the Fermi level of the fourth one. 16.8 states/eV/cell

---

Among the records above, which one has the highest density of states at the Fermi level? CeNdTmTh